Computed, not measured: a relaxed structure of Mn3O2F4 at the PBE with a Hubbard U level of DFT.

a = 4.800 Å, b = 5.741 Å, c = 7.967 Å
α = 87.14°, β = 87.97°, γ = 89.30°
Atoms (fractional coordinates):
Mn 0.552 0.833 0.660
O 0.801 0.045 0.763
O 0.680 0.891 0.432
Mn 0.011 0.670 0.335
F 0.188 0.625 0.582
F 0.204 0.965 0.218
O 0.697 0.529 0.783
O 0.318 0.453 0.228
Mn 0.962 0.334 0.678
F 0.788 0.378 0.435
Mn 0.994 0.988 0.982
F 0.270 0.149 0.565
F 0.324 0.802 0.890
Mn 0.490 0.172 0.335
Mn 0.503 0.489 0.005
F 0.803 0.688 0.099
F 0.708 0.189 0.106
F 0.209 0.300 0.904

Output
**N(E_F)**: 0.19 states/eV per cell
**Volume**: 219 Å³/cell
**ρ**: 4134 kg/m3
**Polymorph energy (0 for the lowest one)**: 0.025 eV/atom